# BeTcPt2

An optimized crystal structure of BeTcPt2 (PBE, Alexandria).

density = 14.70 g/cm3
crystal system = orthorhombic
ΔH_f (0 K) = -3.487 kcal/mol of atoms

Cell and atoms, written as POSCAR:
```
BeTcPt2
1.0
-1.478 -2.067 -1.058
-0.961 -1.020 3.336
-4.515 3.367 -0.270
Pt Be Tc
2 1 1
Cartesian
-4.319 3.220 -0.259
-2.426 -0.644 1.067
-4.756 1.094 0.927
-2.225 1.660 -0.133
```